(1)
Density functional theory data (SCAN) for a PBEsol-optimized structure of ScZn13.

The crystal system is cubic. The formation energy is -121 meV/atom. Its volume is 14.9 Å³ per atom. Its uncorrected energy is -13.687 eV/atom.

Geometry as CIF:
```
data_ScZn13
_chemical_formula_sum 'Sc8 Zn104'
_symmetry_space_group_name_H-M 'F m -3 c'
_symmetry_Int_Tables_number 226
_symmetry_space_group_name_Hall '-F 4a 2 3'
_cell_length_a 11.8605
_cell_length_b 11.8605
_cell_length_c 11.8605
_cell_angle_alpha 90.00
_cell_angle_beta 90.00
_cell_angle_gamma 90.00
loop_
_atom_site_label
_atom_site_fract_x
_atom_site_fract_y
_atom_site_fract_z
_atom_site_occupancy
Sc1 0.2500 0.2500 0.2500 1
Zn1 0.0000 0.0000 0.0000 1
Zn2 0.0000 0.1210 0.1799 1
```

(2)
Density functional theory data (SCAN) for a PBEsol-optimized structure of Sc5Zn24.

The crystal system is cubic. The formation energy is -283 meV/atom. Its volume is 15.1 Å³ per atom. Its uncorrected energy is -13.923 eV/atom.

Geometry as CIF:
```
data_Sc5Zn24
_chemical_formula_sum 'Sc10 Zn48'
_symmetry_space_group_name_H-M 'I -4 3 m'
_symmetry_Int_Tables_number 217
_symmetry_space_group_name_Hall 'I -4 2 3'
_cell_length_a 9.5772
_cell_length_b 9.5772
_cell_length_c 9.5772
_cell_angle_alpha 90.00
_cell_angle_beta 90.00
_cell_angle_gamma 90.00
loop_
_atom_site_label
_atom_site_fract_x
_atom_site_fract_y
_atom_site_fract_z
_atom_site_occupancy
Sc1 0.0000 0.0000 0.0000 1
Sc2 0.1909 0.1909 0.8091 1
Zn1 0.0286 0.3535 0.3535 1
Zn2 0.0892 0.0892 0.2820 1
```

(3)
Density functional theory data (SCAN) for a PBEsol-optimized structure of ZrScZn2.

The crystal system is orthorhombic. The formation energy is -309 meV/atom. Its volume is 17.9 Å³ per atom. Its uncorrected energy is -18.301 eV/atom.

Geometry as CIF:
```
data_ZrScZn2
_chemical_formula_sum 'Zr2 Sc2 Zn4'
_symmetry_space_group_name_H-M 'I m m 2'
_symmetry_Int_Tables_number 44
_cell_length_a 3.2532
_cell_length_b 4.5781
_cell_length_c 9.6361
_cell_angle_alpha 90.00
_cell_angle_beta 90.00
_cell_angle_gamma 90.00
loop_
_symmetry_equiv_pos_as_xyz
'x,y,z'
'-x,-y,z'
'-x,y,z'
'x,-y,z'
'x+1/2,y+1/2,z+1/2'
'-x+1/2,-y+1/2,z+1/2'
'-x+1/2,y+1/2,z+1/2'
'x+1/2,-y+1/2,z+1/2'
loop_
_atom_site_label
_atom_site_fract_x
_atom_site_fract_y
_atom_site_fract_z
_atom_site_occupancy
Zr1 0.0000 0.0000 0.0000 1
Sc1 0.0000 0.5000 0.2307 1
Zn1 0.0000 0.0000 0.4633 1
Zn2 0.0000 0.5000 0.7652 1
```

(4)
Density functional theory data (SCAN) for a PBEsol-optimized structure of ZrScZn.

The crystal system is tetragonal. The formation energy is -260 meV/atom. Its volume is 19.5 Å³ per atom. Its uncorrected energy is -19.744 eV/atom. The distance to the lowest polymorph of the same formula is 0.0 meV/atom.

Geometry as CIF:
```
data_ZrScZn
_chemical_formula_sum 'Zr2 Sc2 Zn2'
_symmetry_space_group_name_H-M 'I 4 m m'
_symmetry_Int_Tables_number 107
_symmetry_space_group_name_Hall 'I 4 -2'
_cell_length_a 3.1660
_cell_length_b 3.1660
_cell_length_c 11.6601
_cell_angle_alpha 90.00
_cell_angle_beta 90.00
_cell_angle_gamma 90.00
loop_
_atom_site_label
_atom_site_fract_x
_atom_site_fract_y
_atom_site_fract_z
_atom_site_occupancy
Zr1 0.0000 0.0000 0.0000 1
Sc1 0.0000 0.0000 0.3139 1
Zn1 0.0000 0.0000 0.6583 1
```

(5)
Density functional theory data (SCAN) for a PBEsol-optimized structure of ZrScZn2.

The crystal system is monoclinic. The formation energy is -345 meV/atom. Its volume is 18.2 Å³ per atom. Its uncorrected energy is -18.337 eV/atom.

Geometry as CIF:
```
data_ZrScZn2
_chemical_formula_sum 'Zr1 Sc1 Zn2'
_symmetry_space_group_name_H-M 'P 1 m 1'
_symmetry_Int_Tables_number 6
_cell_length_a 3.2503
_cell_length_b 4.2129
_cell_length_c 5.5551
_cell_angle_alpha 90.00
_cell_angle_beta 106.84
_cell_angle_gamma 90.00
loop_
_symmetry_equiv_pos_as_xyz
'x,y,z'
'x,-y,z'
loop_
_atom_site_label
_atom_site_fract_x
_atom_site_fract_y
_atom_site_fract_z
_atom_site_occupancy
Zr1 0.0000 0.0000 0.0000 1
Sc1 0.6803 0.5000 0.3589 1
Zn1 0.2676 0.0000 0.5332 1
Zn2 0.4071 0.5000 0.8143 1
```

(6)
Density functional theory data (SCAN) for a PBEsol-optimized structure of ZrSc2Zn.

The crystal system is orthorhombic. The formation energy is -168 meV/atom. Its volume is 20.3 Å³ per atom. Its uncorrected energy is -18.340 eV/atom.

Geometry as CIF:
```
data_ZrSc2Zn
_chemical_formula_sum 'Zr2 Sc4 Zn2'
_symmetry_space_group_name_H-M 'I m m m'
_symmetry_Int_Tables_number 71
_symmetry_space_group_name_Hall '-I 2 2'
_cell_length_a 3.3624
_cell_length_b 4.7779
_cell_length_c 10.1015
_cell_angle_alpha 90.00
_cell_angle_beta 90.00
_cell_angle_gamma 90.00
loop_
_atom_site_label
_atom_site_fract_x
_atom_site_fract_y
_atom_site_fract_z
_atom_site_occupancy
Zr1 0.0000 0.0000 0.0000 1
Sc1 0.0000 0.5000 0.2200 1
Zn1 0.0000 0.0000 0.5000 1
```